Entry 1:
Here is crystalline ThRe2Si2C at its relaxed geometry from Alexandria via LeMat-Bulk. Energies are from PBE.

* uncorrected formation energy: -0.4211 eV per atom
* E_tot: -54.913 eV per formula unit

a = 4.1981 Å, b = 4.1981 Å, c = 5.3083 Å
α = 90.00°, β = 90.00°, γ = 90.00°
Fractional coordinates of all 6 atoms:
Re: 0.0000 0.5000 0.0000
Re: 0.5000 0.0000 0.0000
Th: 0.0000 0.0000 0.5000
Si: 0.5000 0.5000 0.2788
Si: 0.5000 0.5000 0.7212
C: 0.0000 0.0000 0.0000


Entry 2:
Here is crystalline URe2SiC at its relaxed geometry from Alexandria via LeMat-Bulk. Energies are from PBE.

* uncorrected formation energy: -0.2534 eV per atom
* E_tot: -52.098 eV per formula unit

a = 3.3664 Å, b = 6.1268 Å, c = 7.6321 Å
α = 90.00°, β = 90.00°, γ = 105.95°
Fractional coordinates of all 10 atoms:
Si: 0.7485 0.4970 0.7500
U: 0.4594 0.9188 0.7500
C: 0.0000 0.0000 0.0000
Si: 0.2515 0.5030 0.2500
U: 0.5406 0.0812 0.2500
Re: 0.8373 0.6746 0.0546
Re: 0.1627 0.3254 0.5546
Re: 0.8373 0.6746 0.4454
C: 0.0000 0.0000 0.5000
Re: 0.1627 0.3254 0.9454


Entry 3:
Here is crystalline UReSiC at its relaxed geometry from Alexandria via LeMat-Bulk. Energies are from PBE.

* uncorrected formation energy: -0.1145 eV per atom
* E_tot: -38.841 eV per formula unit

a = 3.7940 Å, b = 3.7940 Å, c = 8.6680 Å
α = 90.00°, β = 90.00°, γ = 90.00°
Fractional coordinates of all 8 atoms:
Re: 0.0000 0.0000 0.5000
Si: 0.5000 0.0000 0.6811
C: 0.5000 0.0000 0.8926
U: 0.5000 0.0000 0.1531
U: 0.0000 0.5000 0.8469
C: 0.0000 0.5000 0.1074
Re: 0.5000 0.5000 0.5000
Si: 0.0000 0.5000 0.3189


Entry 4:
Here is crystalline YRe2SiC at its relaxed geometry from Alexandria via LeMat-Bulk. Energies are from PBE.

* uncorrected formation energy: -0.4627 eV per atom
* E_tot: -48.321 eV per formula unit

a = 5.7956 Å, b = 5.7956 Å, c = 7.3250 Å
α = 90.00°, β = 90.00°, γ = 140.15°
Fractional coordinates of all 10 atoms:
Y: 0.5423 0.4577 0.2500
Re: 0.1742 0.8258 0.9394
Si: 0.2651 0.7349 0.2500
Re: 0.1742 0.8258 0.5606
C: 0.0000 0.0000 0.5000
C: 0.0000 0.0000 0.0000
Re: 0.8258 0.1742 0.4394
Si: 0.7349 0.2651 0.7500
Y: 0.4577 0.5423 0.7500
Re: 0.8258 0.1742 0.0606


- Which formula does entry 3 have?
  UReSiC


- What is the uncorrected formation energy in the second record?
  -0.2534 eV per atom